Here is an optimized crystal structure of YScVPt2 from the Alexandria database. Energies are from GGA-PBE. Values from VASP.

Structure (Quantum ESPRESSO input):
```
&SYSTEM
  ibrav = 0, nat = 5, ntyp = 4
/
ATOMIC_SPECIES
Y 88.91 Y.upf
Sc 44.96 Sc.upf
V 50.94 V.upf
Pt 195.08 Pt.upf
CELL_PARAMETERS angstrom
4.782 0.000 0.000
0.000 4.782 0.000
0.000 0.000 5.086
ATOMIC_POSITIONS crystal
Y 0.000 0.000 0.000
Sc 0.000 0.000 0.500
V 0.500 0.500 0.000
Pt 0.000 0.500 0.500
Pt 0.500 0.000 0.500
```

Summary:
ΔE_f, meV per atom: 836
Symmetry: No. 123
Fermi-level density of states, states/eV per cell: 5.14
Spin magnetization, μB/atom: 0.146



Here is an optimized crystal structure of C4Se5 from the Alexandria database. Energies are from GGA-PBE. Values from VASP.

Structure (Quantum ESPRESSO input):
```
&SYSTEM
  ibrav = 0, nat = 18, ntyp = 2
/
ATOMIC_SPECIES
C 12.01 C.upf
Se 78.96 Se.upf
CELL_PARAMETERS angstrom
8.423 0.000 0.000
-4.212 7.295 0.000
0.000 0.000 4.880
ATOMIC_POSITIONS crystal
C 0.000 0.000 0.000
C 0.000 0.000 0.500
C 0.000 0.145 0.250
C 0.000 0.855 0.750
C 0.145 0.000 0.250
C 0.145 0.145 0.750
C 0.855 0.000 0.750
C 0.855 0.855 0.250
Se 0.000 0.302 0.750
Se 0.000 0.698 0.250
Se 0.302 0.000 0.750
Se 0.302 0.302 0.250
Se 0.333 0.667 0.000
Se 0.333 0.667 0.500
Se 0.667 0.333 0.000
Se 0.667 0.333 0.500
Se 0.698 0.000 0.250
Se 0.698 0.698 0.750
```

Summary:
Symmetry: No. 193
Fermi-level density of states, states/eV per cell: 12.23
Formation energy from raw total energies, kcal/mol of atoms: 39.30
Distance to the lowest polymorph of the same formula, eV per atom: 0.0000
Spin magnetization, μB/atom: 0.000



Here is an optimized crystal structure of Mn2GeMoC from the Alexandria database. Energies are from GGA-PBE. Values from VASP.

Structure (Quantum ESPRESSO input):
```
&SYSTEM
  ibrav = 0, nat = 5, ntyp = 4
/
ATOMIC_SPECIES
Mn 54.94 Mn.upf
Ge 72.64 Ge.upf
Mo 95.94 Mo.upf
C 12.01 C.upf
CELL_PARAMETERS angstrom
3.826 0.000 0.000
0.000 3.826 0.000
0.000 0.000 4.191
ATOMIC_POSITIONS crystal
Mn 0.000 0.500 0.000
Mn 0.500 0.000 0.000
Ge 0.000 0.000 0.500
Mo 0.500 0.500 0.500
C 0.500 0.500 0.000
```

Summary:
ΔE_f, meV per atom: -4
Symmetry: No. 123
Fermi-level density of states, states/eV per cell: 3.28
Spin magnetization, μB/atom: 0.628



Here is an optimized crystal structure of Pr6Y2Tm3 from the Alexandria database. Energies are from GGA-PBE. Values from VASP.

Structure (Quantum ESPRESSO input):
```
&SYSTEM
  ibrav = 0, nat = 11, ntyp = 3
/
ATOMIC_SPECIES
Pr 140.91 Pr.upf
Y 88.91 Y.upf
Tm 168.93 Tm.upf
CELL_PARAMETERS angstrom
6.276 0.000 0.000
-2.084 7.812 0.000
-1.050 -2.786 7.570
ATOMIC_POSITIONS crystal
Pr 0.047 0.182 0.409
Pr 0.136 0.546 0.232
Pr 0.322 0.272 0.865
Pr 0.678 0.728 0.135
Pr 0.864 0.454 0.768
Pr 0.953 0.818 0.591
Y 0.229 0.911 0.047
Y 0.771 0.089 0.953
Tm 0.411 0.639 0.682
Tm 0.500 0.000 0.500
Tm 0.589 0.361 0.318
```

Summary:
ΔE_f, meV per atom: 19
Symmetry: No. 2
Fermi-level density of states, states/eV per cell: 14.66
Distance to the lowest polymorph of the same formula, eV per atom: 0.0000
Spin magnetization, μB/atom: 0.000



Here is an optimized crystal structure of InTc2W from the Alexandria database. Energies are from GGA-PBE. Values from VASP.

Structure (Quantum ESPRESSO input):
```
&SYSTEM
  ibrav = 0, nat = 4, ntyp = 3
/
ATOMIC_SPECIES
In 114.82 In.upf
Tc 98.00 Tc.upf
W 183.84 W.upf
CELL_PARAMETERS angstrom
3.158 0.000 0.000
0.000 3.158 0.000
0.000 0.000 6.577
ATOMIC_POSITIONS crystal
In 0.000 0.000 0.000
Tc 0.500 0.500 0.272
Tc 0.500 0.500 0.728
W 0.000 0.000 0.500
```

Summary:
ΔE_f, meV per atom: 94
Symmetry: No. 123
Fermi-level density of states, states/eV per cell: 3.39
Spin magnetization, μB/atom: 0.000



Here is an optimized crystal structure of ZrAsWN2 from the Alexandria database. Energies are from GGA-PBE. Values from VASP.

Structure (Quantum ESPRESSO input):
```
&SYSTEM
  ibrav = 0, nat = 5, ntyp = 4
/
ATOMIC_SPECIES
Zr 91.22 Zr.upf
As 74.92 As.upf
W 183.84 W.upf
N 14.01 N.upf
CELL_PARAMETERS angstrom
4.039 0.000 0.000
0.000 4.039 0.000
0.000 0.000 5.393
ATOMIC_POSITIONS crystal
Zr 0.000 0.000 0.000
As 0.000 0.000 0.500
W 0.500 0.500 0.500
N 0.000 0.500 0.000
N 0.500 0.000 0.000
```

Summary:
Symmetry: No. 123
Fermi-level density of states, states/eV per cell: 7.01
Formation energy from raw total energies, kcal/mol of atoms: 30.22
Spin magnetization, μB/atom: 0.000



Among the records above, which one has the lowest Fermi-level density of states?
Mn2GeMoC



Copy entry 5 word for word.
Here is an optimized crystal structure of InTc2W from the Alexandria database. Energies are from GGA-PBE. Values from VASP.

Structure (Quantum ESPRESSO input):
```
&SYSTEM
  ibrav = 0, nat = 4, ntyp = 3
/
ATOMIC_SPECIES
In 114.82 In.upf
Tc 98.00 Tc.upf
W 183.84 W.upf
CELL_PARAMETERS angstrom
3.158 0.000 0.000
0.000 3.158 0.000
0.000 0.000 6.577
ATOMIC_POSITIONS crystal
In 0.000 0.000 0.000
Tc 0.500 0.500 0.272
Tc 0.500 0.500 0.728
W 0.000 0.000 0.500
```

Summary:
ΔE_f, meV per atom: 94
Symmetry: No. 123
Fermi-level density of states, states/eV per cell: 3.39
Spin magnetization, μB/atom: 0.000